1.
{"formula": "Pm5Nd2Er2", "functional": "PBE", "state": "optimized geometry", "lattice_angstrom": [[7.690, -2.562, 0.000], [7.690, 2.562, 0.000], [-2.560, 0.000, 7.689]], "species": ["Pm", "Pm", "Pm", "Pm", "Pm", "Nd", "Nd", "Er", "Er"], "fractional_positions": [[0.000, 0.000, 0.000], [0.112, 0.112, 0.664], [0.443, 0.443, 0.666], [0.557, 0.557, 0.334], [0.888, 0.888, 0.336], [0.334, 0.334, 0.001], [0.666, 0.666, 0.999], [0.222, 0.222, 0.335], [0.778, 0.778, 0.665]], "total_magnetization_mub_per_fu": 0.000, "ef_kj_per_mol_atoms": 1.6, "sg": "No. 12", "e_tot_ev_per_cell": -42.3, "vol_a3_per_fu": 303.0, "n_ef_per_ev_atom": 1.4753}

=====

2.
{"formula": "LiGeH3", "functional": "PBE", "state": "optimized geometry", "lattice_angstrom": [[2.796, 0.000, 0.000], [0.000, 4.359, 4.153], [0.000, -4.359, 4.153]], "species": ["Li", "Li", "Ge", "Ge", "H", "H", "H", "H", "H", "H"], "fractional_positions": [[0.000, 0.221, 0.779], [0.000, 0.779, 0.221], [0.500, 0.277, 0.277], [0.500, 0.709, 0.709], [0.500, 0.003, 0.268], [0.500, 0.268, 0.003], [0.500, 0.422, 0.680], [0.500, 0.680, 0.422], [0.500, 0.712, 0.990], [0.500, 0.990, 0.712]], "total_magnetization_mub_per_fu": 0.000, "sg": "No. 38", "e_tot_ev_per_cell": -32.3, "vol_a3_per_fu": 50.6, "n_ef_per_ev_atom": 0.1832}